Entry 1:
4
Lattice="-2.626 -1.595 3.125 1.524 -2.976 2.834 1.780 3.959 6.589" Properties=species:S:1:pos:R:3 comment="SmErSb2 | Alexandria | PBE | optimized geometry" de_polymorph_kj_per_mol_atoms=11.8 formation_energy_uncorrected_mev_per_atom=-1011 final_energy_ev_per_atom=-5.393 dos_ef_per_ev_fu=0.44 pbc="T T T"
Sm 1.031 0.876 10.533
Er 0.351 -0.274 6.302
Sb 1.237 2.573 5.426
Sb 0.177 -0.134 3.153


Entry 2:
8
Lattice="-2.836 1.441 3.047 -1.380 -2.708 -3.188 3.161 -11.444 8.354" Properties=species:S:1:pos:R:3 comment="SmErSb2 | Alexandria | PBE | optimized geometry" de_polymorph_kj_per_mol_atoms=7.5 formation_energy_uncorrected_mev_per_atom=-1055 final_energy_ev_per_atom=-5.437 dos_ef_per_ev_fu=0.87 pbc="T T T"
Sm 1.581 -5.722 4.177
Sm 0.000 0.000 0.000
Er -1.561 -2.803 3.057
Er 0.505 -9.908 5.155
Sb -0.684 -5.601 2.012
Sb 0.411 -9.940 8.267
Sb -0.371 -7.110 6.201
Sb -1.466 -2.771 -0.054


Entry 3:
12
Lattice="-2.400 -2.242 -2.774 9.572 -0.805 -4.301 -3.286 -5.473 7.267" Properties=species:S:1:pos:R:3 comment="SmEr3Sb2 | Alexandria | PBE | optimized geometry" formation_energy_uncorrected_mev_per_atom=-677 final_energy_ev_per_atom=-5.119 dos_ef_per_ev_fu=5.93 pbc="T T T"
Sm 2.370 -7.536 0.709
Sm 1.516 -0.984 -0.516
Er 3.531 -4.012 0.188
Er 4.376 -5.898 -2.351
Er -1.469 -6.095 2.866
Er 5.355 -2.425 -2.674
Er -0.491 -2.622 2.544
Er 0.355 -4.508 0.004
Sb 5.482 -6.387 0.419
Sb -1.596 -2.133 -0.226
Sb 2.305 -3.304 -2.656
Sb 1.581 -5.216 2.848